Below is a relaxed structure of KMnTe2O8, with properties calculated at the PBE+U level.

Calculated values
- crystal system = trigonal
- DFT total energy (eV/atom) = -5.5983
- SG = P-3, No. 147

a b c (Å): 5.3640 5.3640 8.2907
angles (deg): 90.00 90.00 120.00
Sites, in units of the cell vectors:
K (0.0000, 0.0000, 0.0000)
Mn (0.0000, 0.0000, 0.5000)
Te (0.3333, 0.6667, 0.2869)
Te (0.6667, 0.3333, 0.7131)
O (0.0259, 0.7114, 0.3535)
O (0.2886, 0.3145, 0.3535)
O (0.3145, 0.0259, 0.6465)
O (0.3333, 0.6667, 0.0675)
O (0.6667, 0.3333, 0.9325)
O (0.6855, 0.9741, 0.3535)
O (0.7114, 0.6855, 0.6465)
O (0.9741, 0.2886, 0.6465)